Record 1
The following is a DFT calculation (GGA-PBE) of an optimized crystal structure of Te2MoP.

As for the density of states at the Fermi level: 4.18 states/eV/f.u. The calculation puts the total DFT energy (no corrections) at -0.1806 hartree per atom. The calculation puts the magnetization at 0.28 μB per atom. As for the crystal system: tetragonal. Its raw formation energy is 0.718 eV per atom.

POSCAR file:
```
Te2MoP
1.0
-2.782 -3.161 -2.560
-1.758 -1.863 4.210
-2.485 2.229 -0.051
Te Mo P
2 1 1
Direct
0.500 0.000 0.000
0.000 0.500 0.000
0.500 0.500 0.500
0.000 0.000 0.500
```


Record 2
The following is a DFT calculation (GGA-PBE) of an optimized crystal structure of Cs3PmI7.

As for the density of states at the Fermi level: 4.18 states/eV/f.u. The calculation puts the total DFT energy (no corrections) at -0.1091 hartree per atom. The calculation puts the magnetization at 0.00 μB per atom. As for the crystal system: monoclinic. Its raw formation energy is -1.317 eV per atom.

POSCAR file:
```
Cs3PmI7
1.0
8.115 0.608 -4.361
-1.867 7.920 -4.361
-0.295 -0.402 9.744
Cs Pm I
3 1 7
Direct
0.224 0.779 0.512
0.514 0.514 0.080
0.779 0.224 0.512
0.945 0.945 0.949
0.143 0.143 0.888
0.133 0.643 0.789
0.320 0.962 0.273
0.643 0.133 0.789
0.647 0.647 0.566
0.962 0.320 0.273
0.815 0.815 0.118
```


Record 3
The following is a DFT calculation (GGA-PBE) of an optimized crystal structure of BaCa2Au.

As for the formation energy: -0.3725 eV/atom. As for the density of states at the Fermi level: 3.39 states/eV/f.u. The calculation puts the total DFT energy (no corrections) at -0.0982 hartree per atom. The calculation puts the magnetization at 0.00 μB per atom. As for the crystal system: trigonal.

POSCAR file:
```
BaCa2Au
1.0
-1.831 2.447 3.040
-1.714 -1.837 3.503
7.844 0.970 7.000
Ca Au Ba
2 1 1
Direct
0.281 0.281 0.158
0.719 0.719 0.842
0.000 0.000 0.000
0.500 0.500 0.500
```


Record 4
The following is a DFT calculation (GGA-PBE) of an optimized crystal structure of Li6TlZn2.

As for the formation energy: -0.1550 eV/atom. As for the density of states at the Fermi level: 3.66 states/eV/f.u. The calculation puts the total DFT energy (no corrections) at -0.0727 hartree per atom. The calculation puts the magnetization at 0.00 μB per atom. As for the crystal system: trigonal.

POSCAR file:
```
Li6TlZn2
1.0
-0.647 5.034 1.645
-4.484 -0.214 -2.885
-2.051 -2.272 4.371
Li Tl Zn
6 1 2
Direct
0.168 0.500 0.832
0.832 0.168 0.500
0.832 0.500 0.168
0.500 0.168 0.832
0.168 0.832 0.500
0.500 0.832 0.168
0.000 0.000 0.000
0.656 0.656 0.656
0.344 0.344 0.344
```


no.,ρ (g cm⁻³)
1,7.8
2,3.9
3,4.2
4,4.2